PrZrFe | PBE-GGA | optimized geometry

a b c (Å): 4.615 4.615 4.615
angles (deg): 60.00 60.00 60.00
Sites, in units of the cell vectors:
Pr 0.000 0.000 0.000
Zr 0.500 0.500 0.500
Fe 0.250 0.250 0.250

Properties
Its raw total energy is -6.893 eV/atom. As for the space-group type: F-43m (216). The calculation puts the energy of formation at 0.32 eV/atom. The calculated volume comes out at 70 Å³ per cell. The energy above the most stable polymorph in this dataset is 0.000 eV/atom.


Ho2Hg2O5 | PBE-GGA | optimized geometry

a b c (Å): 4.079 4.079 8.714
angles (deg): 90.00 90.00 90.00
Sites, in units of the cell vectors:
Ho 0.000 0.000 0.249
Ho 0.000 0.000 0.751
Hg 0.500 0.500 0.000
Hg 0.500 0.500 0.500
O 0.000 0.000 0.000
O 0.000 0.500 0.335
O 0.000 0.500 0.665
O 0.500 0.000 0.335
O 0.500 0.000 0.665

Properties
Its raw total energy is -5.582 eV/atom. As for the space-group type: P4/mmm (123). The calculated volume comes out at 145 Å³ per cell. The energy above the most stable polymorph in this dataset is 0.000 eV/atom.


Re2Mo | PBE-GGA | optimized geometry

a b c (Å): 7.780 7.780 7.780
angles (deg): 60.00 60.00 60.00
Sites, in units of the cell vectors:
Re 0.000 0.000 0.000
Re 0.000 0.000 0.500
Re 0.000 0.500 0.000
Re 0.500 0.000 0.000
Mo 0.125 0.125 0.125
Mo 0.875 0.875 0.875

Properties
Its raw total energy is -7.789 eV/atom. As for the space-group type: Fd-3m (227). The calculation puts the energy of formation at 4.11 eV/atom. The calculated volume comes out at 333 Å³ per cell. The energy above the most stable polymorph in this dataset is 3.975 eV/atom.